[1]
Density functional theory data (GGA-PBE) for ScMn2TcC after structural relaxation.

a = 3.9138 Å, b = 3.9138 Å, c = 4.1699 Å
α = 90.00°, β = 90.00°, γ = 90.00°
Closest atoms and distances in Å follow each position.
Atoms (fractional coordinates):
Sc 0.5000 0.5000 0.5000  4 Tc 2.77, 8 Mn 2.86
C 0.0000 0.0000 0.0000  4 Mn 1.96, 2 Tc 2.08
Mn 0.0000 0.5000 0.0000  2 C 1.96
Mn 0.5000 0.0000 0.0000  2 C 1.96
Tc 0.0000 0.0000 0.5000  2 C 2.08

Results
Total magnetic moment   3.64 μB/f.u.
Crystal system   tetragonal
Symmetry   P4/mmm, No. 123
E_form   -0.14 eV/atom



[2]
Density functional theory data (GGA-PBE) for La2SeI2N after structural relaxation.

a = 4.3495 Å, b = 7.8245 Å, c = 12.1180 Å
α = 90.00°, β = 90.00°, γ = 90.00°
Closest atoms and distances in Å follow each position.
Atoms (fractional coordinates):
La 0.0000 0.2338 0.6939  2 N 2.43
La 0.5000 0.3417 0.4297  2 N 2.50-2.73
La 0.0000 0.7338 0.3061  2 N 2.43
La 0.5000 0.8417 0.5703  2 N 2.50-2.73
Se 0.0000 0.0492 0.4542  6 La 3.05-3.24, 2 N 3.07
Se 0.0000 0.5492 0.5458  6 La 3.05-3.24, 2 N 3.07
I 0.5000 0.8854 0.1282  2 La 3.28, 1 N 3.54
I 0.0000 0.3499 0.2172  3 La 3.19-3.37
I 0.5000 0.3854 0.8718  2 La 3.28, 1 N 3.54
I 0.0000 0.8499 0.7828  3 La 3.19-3.37
N 0.5000 0.1856 0.6100  3 La 2.43-2.50
N 0.5000 0.6856 0.3900  3 La 2.43-2.50

Results
Total magnetic moment   1.01 μB/f.u.
Crystal system   orthorhombic
E_form (uncorrected)   -1.4089 eV per atom
Symmetry   Pmc2_1, No. 26



[3]
Density functional theory data (GGA-PBE) for PrRhCN after structural relaxation.

a = 3.7933 Å, b = 3.7933 Å, c = 7.5227 Å
α = 90.00°, β = 90.00°, γ = 90.00°
Closest atoms and distances in Å follow each position.
Atoms (fractional coordinates):
Pr 0.0000 0.5000 0.8294  5 N 2.50-2.68
Pr 0.5000 0.0000 0.1706  5 N 2.50-2.68
Rh 0.0000 0.0000 0.5000  4 C 2.23
Rh 0.5000 0.5000 0.5000  4 C 2.23
C 0.0000 0.5000 0.3432  1 N 1.37
C 0.5000 0.0000 0.6568  1 N 1.37
N 0.5000 0.0000 0.8385  1 C 1.37
N 0.0000 0.5000 0.1615  1 C 1.37

Results
Total magnetic moment   0.00 μB/f.u.
Crystal system   tetragonal
E_form (uncorrected)   -0.5579 eV per atom
Symmetry   P4/nmm, No. 129



[4]
Density functional theory data (GGA-PBE) for HSeF after structural relaxation.

a = 2.5945 Å, b = 2.6839 Å, c = 7.4066 Å
α = 89.91°, β = 89.75°, γ = 89.13°
Closest atoms and distances in Å follow each position.
Atoms (fractional coordinates):
H 0.8533 0.5656 0.3722  1 F 0.96
Se 0.6929 0.2216 0.8720  4 Se 2.59-2.68
F 0.1889 0.7079 0.3719  1 H 0.96

Results
Total magnetic moment   0.00 μB/f.u.
Crystal system   triclinic
Energy above the lowest structure with this stoichiometry   0.079 eV/atom
Symmetry   P1, No. 1